Material: CdInCo2Bi
Method: DFT, PBE-GGA
State: relaxed

Values from the calculation:
**Formation energy**: 1.0744 eV per atom
**Total moment**: 2.66 μB/cell
**Space group**: No. 123

Cell: 4.832 4.832 5.185 Å, 90.00 90.00 90.00°
Atoms (fractional coordinates):
Cd 0.000 0.000 0.000
In 0.000 0.000 0.500
Co 0.000 0.500 0.500
Co 0.500 0.000 0.500
Bi 0.500 0.500 0.000